# 1
Material: AcLa2Pr6Y
Method: DFT, PBE
State: relaxed

The structure in extended XYZ format:
```
20
Lattice="4.708 -7.891 0.000 4.708 7.891 0.000 -1.266 0.000 10.003" Properties=species:S:1:pos:R:3 pbc="T T T"
Ac 3.759 7.591 7.502
Ac 4.392 -7.591 2.501
La 1.704 0.863 5.435
La 2.337 -0.863 0.434
La 5.814 0.863 9.569
La 6.447 -0.863 4.568
Pr 1.881 4.344 6.885
Pr 4.027 4.885 0.535
Pr 4.757 4.885 4.466
Pr 2.625 1.644 8.820
Pr 5.637 4.344 8.120
Pr 4.893 1.644 6.185
Pr 3.258 -1.644 3.818
Pr 2.514 -4.344 1.883
Pr 5.526 -1.644 1.183
Pr 3.394 -4.885 5.537
Pr 4.124 -4.885 9.468
Pr 6.270 -4.344 3.118
Y 4.392 1.454 2.501
Y 3.759 -1.454 7.502
```

Magnetization in μB per atom: 0.00
Symmetry: C2/c, No. 15
Mass density in Mg/m³: 6.43
Total DFT energy (no corrections) in eV for the cell shown: -96.1

---

# 2
Material: Ac2LaPrY2
Method: DFT, PBE
State: relaxed

The structure in extended XYZ format:
```
12
Lattice="5.350 0.000 0.000 0.000 11.306 0.000 0.000 0.000 7.493" Properties=species:S:1:pos:R:3 pbc="T T T"
Ac 0.000 0.017 0.000
Ac 0.000 11.289 3.747
Ac 2.675 1.968 1.902
Ac 2.675 9.338 5.649
La 0.000 3.836 3.786
La 0.000 7.470 0.040
Pr 2.675 5.605 5.679
Pr 2.675 5.702 1.933
Y 0.000 3.807 0.022
Y 0.000 7.499 3.769
Y 2.675 1.982 5.635
Y 2.675 9.325 1.889
```

Magnetization in μB per atom: 0.00
Symmetry: Pmc2_1, No. 26
Mass density in Mg/m³: 6.68
Total DFT energy (no corrections) in eV for the cell shown: -61.3

---

# 3
Material: AcLa2Pr2Y2
Method: DFT, PBE
State: relaxed

The structure in extended XYZ format:
```
7
Lattice="5.899 -2.652 0.000 5.899 2.652 0.000 -1.178 0.000 8.165" Properties=species:S:1:pos:R:3 pbc="T T T"
Ac 0.000 0.000 0.000
La 2.359 0.000 6.957
La 8.260 0.000 1.207
Pr 4.682 0.000 2.387
Pr 5.937 0.000 5.778
Y 1.173 0.000 3.534
Y 9.446 0.000 4.631
```

Magnetization in μB per atom: 0.00
Symmetry: C2/m, No. 12
Mass density in Mg/m³: 6.27
Total DFT energy (no corrections) in eV for the cell shown: -36.3

---

# 4
Material: AcLa6PrY2
Method: DFT, PBE
State: relaxed

The structure in extended XYZ format:
```
20
Lattice="4.803 -7.784 0.000 4.803 7.784 0.000 -1.207 0.000 9.931" Properties=species:S:1:pos:R:3 pbc="T T T"
Ac 3.898 7.272 7.448
Ac 4.502 -7.272 2.483
La 1.864 4.231 6.777
La 4.055 5.046 0.551
La 4.949 5.046 4.414
La 2.846 1.718 8.723
La 5.933 4.231 8.120
La 4.951 1.718 6.174
La 3.449 -1.718 3.757
La 2.467 -4.231 1.811
La 5.554 -1.718 1.208
La 3.451 -5.046 5.517
La 4.345 -5.046 9.380
La 6.536 -4.231 3.154
Pr 4.502 1.446 2.483
Pr 3.898 -1.446 7.448
Y 1.743 0.749 5.452
Y 2.346 -0.749 0.486
Y 6.054 0.749 9.445
Y 6.657 -0.749 4.479
```

Magnetization in μB per atom: 0.00
Symmetry: C2/c, No. 15
Mass density in Mg/m³: 6.17
Total DFT energy (no corrections) in eV for the cell shown: -100.7

---

# 5
Material: AcLaPr2Y2
Method: DFT, PBE
State: relaxed

The structure in extended XYZ format:
```
12
Lattice="5.274 0.000 0.000 0.000 11.183 0.000 0.000 0.000 7.388" Properties=species:S:1:pos:R:3 pbc="T T T"
Ac 0.000 1.866 0.000
Ac 0.000 9.316 3.694
La 2.637 0.009 1.864
La 2.637 11.174 5.558
Pr 0.000 5.558 3.680
Pr 0.000 5.625 7.374
Pr 2.637 3.770 5.531
Pr 2.637 7.413 1.837
Y 0.000 1.932 3.700
Y 0.000 9.251 0.005
Y 2.637 3.749 1.856
Y 2.637 7.434 5.550
```

Magnetization in μB per atom: 0.00
Symmetry: Pmc2_1, No. 26
Mass density in Mg/m³: 6.29
Total DFT energy (no corrections) in eV for the cell shown: -62.7

---

# 6
Material: Ac2LaPr5Y
Method: DFT, PBE
State: relaxed

The structure in extended XYZ format:
```
18
Lattice="2.951 -10.490 0.000 2.951 10.490 0.000 0.000 0.000 11.185" Properties=species:S:1:pos:R:3 pbc="T T T"
Ac 2.951 8.188 5.592
Ac 2.951 7.932 1.026
Ac 2.951 -7.932 6.618
Ac 2.951 -8.188 0.000
La 2.951 6.052 8.603
La 2.951 -6.052 3.010
Pr 2.951 10.054 8.887
Pr 2.951 4.508 0.746
Pr 2.951 4.348 5.152
Pr 2.951 2.076 8.886
Pr 2.951 0.471 5.714
Pr 2.951 -0.471 0.122
Pr 2.951 -2.076 3.294
Pr 2.951 -4.348 10.744
Pr 2.951 -4.508 6.338
Pr 2.951 -10.054 3.294
Y 2.951 1.905 2.581
Y 2.951 -1.905 8.174
```

Magnetization in μB per atom: 0.00
Symmetry: Cmc2_1, No. 36
Mass density in Mg/m³: 6.65
Total DFT energy (no corrections) in eV for the cell shown: -84.8

---

# 7
Material: AcLa5Pr2Y
Method: DFT, PBE
State: relaxed

The structure in extended XYZ format:
```
18
Lattice="-4.633 4.633 7.857 4.633 -4.633 7.857 4.633 4.633 -7.857" Properties=species:S:1:pos:R:3 pbc="T T T"
Ac 0.000 0.000 3.928
Ac 0.000 0.000 11.785
La 0.000 0.000 0.000
La 6.535 1.902 -2.104
La 1.902 2.732 -2.104
La 6.535 1.902 2.104
La 1.902 2.732 2.104
La 0.000 0.000 7.857
La 2.732 1.902 5.753
La -1.902 2.732 5.753
La 2.732 1.902 9.961
La -1.902 2.732 9.961
Pr 3.560 1.073 0.000
Pr 3.560 -1.073 7.857
Pr 1.073 5.706 0.000
Pr 1.073 3.560 7.857
Y 4.633 0.000 3.928
Y 0.000 4.633 3.928
```

Magnetization in μB per atom: 0.00
Symmetry: I4/mcm, No. 140
Mass density in Mg/m³: 6.36
Total DFT energy (no corrections) in eV for the cell shown: -85.3

---

# 8
Material: AcLa2Pr3Y6
Method: DFT, PBE
State: relaxed

The structure in extended XYZ format:
```
12
Lattice="3.194 -5.531 0.000 3.194 5.531 0.000 -2.127 0.000 11.796" Properties=species:S:1:pos:R:3 pbc="T T T"
Ac 0.000 0.000 0.000
La 3.194 1.844 0.000
La 3.194 -1.844 0.000
Pr 2.130 3.687 5.898
Pr 2.130 0.000 5.898
Pr 2.130 -3.687 5.898
Y 1.073 1.852 2.981
Y 0.007 0.000 8.815
Y 1.073 -1.852 2.981
Y 3.187 1.852 8.815
Y 4.253 0.000 2.981
Y 3.187 -1.852 8.815
```

Magnetization in μB per atom: 0.00
Symmetry: C2/m, No. 12
Mass density in Mg/m³: 5.82
Total DFT energy (no corrections) in eV for the cell shown: -66.9

---

# 9
Material: AcLaPrY
Method: DFT, PBE
State: relaxed

The structure in extended XYZ format:
```
4
Lattice="-3.094 3.094 3.923 3.094 -3.094 3.923 3.094 3.094 -3.923" Properties=species:S:1:pos:R:3 pbc="T T T"
Ac 0.000 0.000 0.000
La 0.000 0.000 3.923
Pr 3.094 0.000 1.962
Y 0.000 3.094 1.962
```

Magnetization in μB per atom: 0.00
Symmetry: I-4m2, No. 119
Mass density in Mg/m³: 6.58
Total DFT energy (no corrections) in eV for the cell shown: -19.9

---

# 10
Material: AcLa5PrY2
Method: DFT, PBE
State: relaxed

The structure in extended XYZ format:
```
18
Lattice="8.172 0.000 0.000 0.000 8.172 0.000 0.000 0.000 10.264" Properties=species:S:1:pos:R:3 pbc="T T T"
Ac 0.000 0.000 0.000
Ac 4.086 4.086 0.000
La 0.000 0.000 5.132
La 1.613 2.473 2.513
La 1.613 2.473 7.751
La 2.473 6.559 2.513
La 2.473 6.559 7.751
La 4.086 4.086 5.132
La 5.699 1.613 2.513
La 5.699 1.613 7.751
La 6.559 5.699 2.513
La 6.559 5.699 7.751
Pr 0.000 4.086 0.000
Pr 4.086 0.000 0.000
Y 1.060 5.146 5.132
Y 3.026 1.060 5.132
Y 5.146 7.111 5.132
Y 7.111 3.026 5.132
```

Magnetization in μB per atom: 0.00
Symmetry: P4/mbm, No. 127
Mass density in Mg/m³: 6.01
Total DFT energy (no corrections) in eV for the cell shown: -88.4

---

# 11
Material: AcLa2PrY5
Method: DFT, PBE
State: relaxed

The structure in extended XYZ format:
```
18
Lattice="-4.440 4.440 8.035 4.440 -4.440 8.035 4.440 4.440 -8.035" Properties=species:S:1:pos:R:3 pbc="T T T"
Ac 4.440 0.000 4.018
Ac 0.000 4.440 4.018
La 5.464 1.024 0.000
La 1.024 3.416 0.000
La 3.416 1.024 8.035
La -1.024 3.416 8.035
Pr 0.000 0.000 4.018
Pr 0.000 0.000 12.053
Y 0.000 0.000 0.000
Y 2.531 1.909 -2.166
Y 2.531 -1.909 5.869
Y 2.531 1.909 2.166
Y 2.531 -1.909 10.201
Y 0.000 0.000 8.035
Y 1.909 6.349 -2.166
Y 1.909 2.531 5.869
Y 1.909 6.349 2.166
Y 1.909 2.531 10.201
```

Magnetization in μB per atom: 0.00
Symmetry: I4/mcm, No. 140
Mass density in Mg/m³: 5.71
Total DFT energy (no corrections) in eV for the cell shown: -97.8

---

# 12
Material: Ac2LaPr4Y2
Method: DFT, PBE
State: relaxed

The structure in extended XYZ format:
```
9
Lattice="8.912 -1.868 0.000 8.912 1.868 0.000 -1.655 0.000 10.106" Properties=species:S:1:pos:R:3 pbc="T T T"
Ac 2.755 0.000 0.842
Ac 13.413 0.000 9.264
La -0.828 0.000 5.053
Pr 1.841 0.000 7.322
Pr 8.409 0.000 1.790
Pr 7.759 0.000 8.316
Pr 14.327 0.000 2.784
Y 4.979 0.000 5.854
Y 11.189 0.000 4.252
```

Magnetization in μB per atom: 0.00
Symmetry: C2/m, No. 12
Mass density in Mg/m³: 6.59
Total DFT energy (no corrections) in eV for the cell shown: -45.0

---

# 13
Material: Ac2LaPr2Y
Method: DFT, PBE
State: relaxed

The structure in extended XYZ format:
```
12
Lattice="7.426 0.000 0.000 0.000 5.998 0.000 0.000 0.000 10.367" Properties=species:S:1:pos:R:3 pbc="T T T"
Ac 0.000 0.000 0.000
Ac 1.856 2.999 1.791
Ac 3.713 0.000 0.000
Ac 5.569 2.999 8.576
La 0.000 2.999 5.183
La 3.713 2.999 5.183
Pr 1.856 0.000 3.526
Pr 1.856 2.999 8.582
Pr 5.569 0.000 6.841
Pr 5.569 2.999 1.785
Y 1.856 0.000 6.883
Y 5.569 0.000 3.484
```

Magnetization in μB per atom: 0.00
Symmetry: Pmma, No. 51
Mass density in Mg/m³: 6.93
Total DFT energy (no corrections) in eV for the cell shown: -57.6

---

# 14
Material: Ac5La2PrY
Method: DFT, PBE
State: relaxed

The structure in extended XYZ format:
```
18
Lattice="2.953 -11.456 0.000 2.953 11.456 0.000 0.000 0.000 11.103" Properties=species:S:1:pos:R:3 pbc="T T T"
Ac 0.000 0.000 0.000
Ac 0.000 0.000 5.552
Ac 2.953 8.463 8.328
Ac 2.953 6.418 0.714
Ac 2.953 6.418 4.838
Ac 2.953 0.065 8.328
Ac 2.953 -0.065 2.776
Ac 2.953 -6.418 6.266
Ac 2.953 -6.418 10.389
Ac 2.953 -8.463 2.776
La 2.953 2.606 0.084
La 2.953 2.606 5.468
La 2.953 -2.606 5.635
La 2.953 -2.606 11.020
Pr 2.953 4.551 8.328
Pr 2.953 -4.551 2.776
Y 2.953 9.184 2.776
Y 2.953 -9.184 8.328
```

Magnetization in μB per atom: 0.00
Symmetry: Cmcm, No. 63
Mass density in Mg/m³: 7.26
Total DFT energy (no corrections) in eV for the cell shown: -81.1

---

# 15
Material: AcLaPr2Y
Method: DFT, PBE
State: relaxed

The structure in extended XYZ format:
```
10
Lattice="4.132 -6.175 0.000 4.132 6.175 0.000 0.000 0.000 7.590" Properties=species:S:1:pos:R:3 pbc="T T T"
Ac 4.132 3.146 5.692
Ac 4.132 -3.146 1.897
La 4.132 5.419 1.897
La 4.132 -5.419 5.692
Pr 2.477 0.000 0.000
Pr 2.477 0.000 3.795
Pr 5.787 0.000 0.000
Pr 5.787 0.000 3.795
Y 4.132 2.374 1.897
Y 4.132 -2.374 5.692
```

Magnetization in μB per atom: 0.00
Symmetry: Cmcm, No. 63
Mass density in Mg/m³: 6.32
Total DFT energy (no corrections) in eV for the cell shown: -46.9

---

# 16
Material: Ac3La3PrZn2
Method: DFT, PBE
State: relaxed

The structure in extended XYZ format:
```
9
Lattice="9.608 0.000 0.000 -4.804 8.321 0.000 0.000 0.000 3.896" Properties=species:S:1:pos:R:3 pbc="T T T"
Ac -3.302 5.719 0.000
Ac 1.502 2.601 0.000
Ac 6.604 0.000 0.000
La -1.818 3.149 1.948
La 3.636 0.000 1.948
La 2.986 5.172 1.948
Pr 0.000 0.000 1.948
Zn 0.000 5.547 0.000
Zn 4.804 2.774 0.000
```

Magnetization in μB per atom: 0.00
Symmetry: P-62m, No. 189
Mass density in Mg/m³: 7.30
Total DFT energy (no corrections) in eV for the cell shown: -34.4

---

# 17
Material: AcLa2Pt2
Method: DFT, PBE
State: relaxed

The structure in extended XYZ format:
```
5
Lattice="-2.178 2.977 6.518 2.178 -2.977 6.518 2.178 2.977 -6.518" Properties=species:S:1:pos:R:3 pbc="T T T"
Ac 0.000 0.000 0.000
La 0.000 0.000 4.152
La 0.000 0.000 8.884
Pt 2.178 0.000 2.165
Pt 0.000 2.977 4.353
```

Magnetization in μB per atom: 0.00
Symmetry: Immm, No. 71
Mass density in Mg/m³: 8.79
Total DFT energy (no corrections) in eV for the cell shown: -30.9

---

# 18
Material: Ac2LaPt2
Method: DFT, PBE
State: relaxed

The structure in extended XYZ format:
```
10
Lattice="-4.184 5.694 3.390 4.184 -5.694 3.390 4.184 5.694 -3.390" Properties=species:S:1:pos:R:3 pbc="T T T"
Ac 1.129 1.736 0.000
Ac 5.313 3.957 0.000
Ac -1.129 1.736 3.390
Ac 3.055 3.957 3.390
La 4.184 0.000 1.695
La 0.000 5.694 1.695
Pt 6.425 1.188 0.000
Pt 2.241 4.506 0.000
Pt 1.943 1.188 3.390
Pt -2.241 4.506 3.390
```

Magnetization in μB per atom: 0.00
Symmetry: Ibam, No. 72
Mass density in Mg/m³: 10.11
Total DFT energy (no corrections) in eV for the cell shown: -59.3

---

# 19
Material: Ac2LaPt9
Method: DFT, PBE
State: relaxed

The structure in extended XYZ format:
```
12
Lattice="2.773 1.601 9.109 -2.773 1.601 9.109 0.000 -3.202 9.109" Properties=species:S:1:pos:R:3 pbc="T T T"
Ac 0.000 0.000 3.789
Ac 0.000 0.000 23.537
La 0.000 0.000 0.000
Pt -1.396 -0.806 11.373
Pt 0.000 0.000 9.087
Pt 0.000 -1.612 15.953
Pt -1.396 0.806 15.953
Pt 0.000 0.000 13.663
Pt 1.396 -0.806 11.373
Pt 0.000 1.612 11.373
Pt 0.000 0.000 18.239
Pt 1.396 0.806 15.953
```

Magnetization in μB per atom: 0.00
Symmetry: R-3m, No. 166
Mass density in Mg/m³: 16.07
Total DFT energy (no corrections) in eV for the cell shown: -78.5

---

# 20
Material: Ac5LaPt5
Method: DFT, PBE
State: relaxed

The structure in extended XYZ format:
```
11
Lattice="6.899 -3.079 0.000 6.899 3.079 0.000 -2.782 0.000 8.306" Properties=species:S:1:pos:R:3 pbc="T T T"
Ac 0.000 0.000 0.000
Ac 4.024 0.000 1.426
Ac 2.713 0.000 5.458
Ac 8.302 0.000 2.848
Ac 6.991 0.000 6.880
La -1.391 0.000 4.153
Pt 1.287 0.000 2.748
Pt -0.050 0.000 6.913
Pt 5.508 0.000 4.153
Pt 11.066 0.000 1.394
Pt 9.728 0.000 5.558
```

Magnetization in μB per atom: 0.00
Symmetry: C2/m, No. 12
Mass density in Mg/m³: 10.58
Total DFT energy (no corrections) in eV for the cell shown: -67.7